No. 1
TmSi2Pd8 | PBE-GGA | optimized geometry

Structure (POSCAR):
```
TmSi2Pd8
1.0
-0.672 2.309 3.775
-5.498 -3.740 0.160
5.350 -3.456 1.918
Tm Pd Si
1 8 2
Direct
0.500 0.000 0.000 Tm
0.913 0.675 0.935 Pd
0.692 0.390 0.390 Pd
0.913 0.935 0.675 Pd
0.087 0.065 0.325 Pd
0.500 0.251 0.749 Pd
0.500 0.749 0.251 Pd
0.087 0.325 0.065 Pd
0.308 0.610 0.610 Pd
0.000 0.321 0.679 Si
0.000 0.679 0.321 Si
```

Summary:
- uncorrected formation energy (meV per atom) = -677
- calculated density (g/cm³) = 10.04
- magnetic moment (Bohr magnetons per cell) = 0.0

No. 2
TbPuIrRu | PBE-GGA | optimized geometry

Structure (POSCAR):
```
TbPuIrRu
1.0
-2.228 -4.160 -1.025
2.391 -4.178 0.384
-1.093 -3.091 3.546
Ir Ru Tb Pu
1 1 1 1
Direct
0.250 0.250 0.250 Ir
0.750 0.750 0.750 Ru
0.500 0.500 0.500 Tb
0.000 0.000 0.000 Pu
```

Summary:
- calculated formation energy (meV/atom) = -406
- calculated density (g/cm³) = 14.52
- magnetic moment (Bohr magnetons per cell) = 4.3

No. 3
YMgPb2 | PBE-GGA | optimized geometry

Structure (POSCAR):
```
YMgPb2
1.0
10.091 -0.072 -0.042
9.467 3.494 -0.042
9.467 1.657 3.077
Y Mg Pb
1 1 2
Direct
0.250 0.250 0.250 Y
0.750 0.750 0.750 Mg
0.496 0.496 0.496 Pb
0.004 0.004 0.004 Pb
```

Summary:
- calculated formation energy (meV/atom) = -176
- calculated density (g/cm³) = 7.82
- magnetic moment (Bohr magnetons per cell) = 0.0

No. 4
TbDySb2 | PBE-GGA | optimized geometry

Structure (POSCAR):
```
TbDySb2
1.0
-1.866 -3.840 -0.878
0.690 -3.410 2.626
-6.307 -0.475 4.658
Sb Dy Tb
2 1 1
Direct
0.082 0.082 0.755 Sb
0.252 0.252 0.245 Sb
0.669 0.669 0.994 Dy
0.498 0.498 0.506 Tb
```

Summary:
- uncorrected formation energy (meV per atom) = -1028
- calculated density (g/cm³) = 7.66
- magnetic moment (Bohr magnetons per cell) = 0.0
- energy above the lowest structure with this stoichiometry (eV per formula unit) = 0.46

Copy entry 4 word for word.
TbDySb2 | PBE-GGA | optimized geometry

Structure (POSCAR):
```
TbDySb2
1.0
-1.866 -3.840 -0.878
0.690 -3.410 2.626
-6.307 -0.475 4.658
Sb Dy Tb
2 1 1
Direct
0.082 0.082 0.755 Sb
0.252 0.252 0.245 Sb
0.669 0.669 0.994 Dy
0.498 0.498 0.506 Tb
```

Summary:
- uncorrected formation energy (meV per atom) = -1028
- calculated density (g/cm³) = 7.66
- magnetic moment (Bohr magnetons per cell) = 0.0
- energy above the lowest structure with this stoichiometry (eV per formula unit) = 0.46

Number 2 is which compound? TbPuIrRu